# ThSc2ZnHg4

Crystalline ThSc2ZnHg4 at its relaxed geometry (PBE, the Alexandria database).

total magnetic moment: 0.00 μB/atom
D(E_F): 5.3 states/eV/f.u.
formation enthalpy at 0 K: -0.24 eV per atom

a b c (Å): 9.639 9.639 9.639
angles (deg): 29.00 29.00 29.00
Positions (direct):
1 Th 0.000 0.000 0.000
2 Sc 0.237 0.237 0.237
3 Sc 0.763 0.763 0.763
4 Zn 0.500 0.500 0.500
5 Hg 0.128 0.128 0.128
6 Hg 0.390 0.390 0.390
7 Hg 0.610 0.610 0.610
8 Hg 0.872 0.872 0.872